Record 1
## CaTb4Tl4 (PBE-GGA)

Data for an optimized crystal structure of CaTb4Tl4. Values from VASP.

Geometry as Quantum ESPRESSO input:
```
&SYSTEM
  ibrav = 0, nat = 18, ntyp = 3
/
ATOMIC_SPECIES
Ca 40.08 Ca.upf
Tb 158.93 Tb.upf
Tl 204.38 Tl.upf
CELL_PARAMETERS angstrom
9.7909 0.0000 0.0000
0.0000 9.7909 0.0000
0.0000 0.0000 6.2687
ATOMIC_POSITIONS angstrom
Ca 2.4477 2.4477 1.5672
Ca 7.3432 7.3432 4.7015
Tb 0.7510 6.3785 0.8758
Tb 1.4831 9.0399 4.0102
Tb 3.4124 5.6465 4.0102
Tb 4.1445 8.3079 0.8758
Tb 5.6465 1.4831 5.3929
Tb 6.3785 4.1445 2.2585
Tb 8.3079 0.7510 2.2585
Tb 9.0399 3.4124 5.3929
Tl 0.3175 6.0781 4.0187
Tl 1.1826 9.4734 0.8843
Tl 3.7129 5.2130 0.8843
Tl 4.5780 8.6083 4.0187
Tl 5.2130 1.1826 2.2500
Tl 6.0781 4.5780 5.3844
Tl 8.6083 0.3175 5.3844
Tl 9.4734 3.7129 2.2500
```

Results
- Formation energy: -0.131 eV/atom
- Magnetic moment: 0.0 μB/f.u.

Record 2
## CaTb4Tl5 (PBE-GGA)

Data for an optimized crystal structure of CaTb4Tl5. Values from VASP.

Geometry as Quantum ESPRESSO input:
```
&SYSTEM
  ibrav = 0, nat = 10, ntyp = 3
/
ATOMIC_SPECIES
Ca 40.08 Ca.upf
Tb 158.93 Tb.upf
Tl 204.38 Tl.upf
CELL_PARAMETERS angstrom
3.7915 0.0000 0.0000
0.0000 3.7915 0.0000
0.0000 0.0000 19.4150
ATOMIC_POSITIONS angstrom
Ca 0.0000 0.0000 0.0000
Tb 0.0000 0.0000 3.9065
Tb 0.0000 0.0000 7.7882
Tb 0.0000 0.0000 11.6267
Tb 0.0000 0.0000 15.5085
Tl 1.8957 1.8957 2.0129
Tl 1.8957 1.8957 5.8766
Tl 1.8957 1.8957 9.7075
Tl 1.8957 1.8957 13.5384
Tl 1.8957 1.8957 17.4020
```

Results
- Formation energy: -0.370 eV/atom
- Magnetic moment: 0.0 μB/f.u.

Record 3
## CaTb2Tl9 (PBE-GGA)

Data for an optimized crystal structure of CaTb2Tl9. Values from VASP.

Geometry as Quantum ESPRESSO input:
```
&SYSTEM
  ibrav = 0, nat = 12, ntyp = 3
/
ATOMIC_SPECIES
Ca 40.08 Ca.upf
Tb 158.93 Tb.upf
Tl 204.38 Tl.upf
CELL_PARAMETERS angstrom
4.7945 0.0000 0.0000
0.0000 4.7945 0.0000
0.0000 0.0000 14.4184
ATOMIC_POSITIONS angstrom
Ca 0.0000 0.0000 0.0000
Tb 0.0000 0.0000 4.8832
Tb 0.0000 0.0000 9.5352
Tl 0.0000 2.3973 2.4521
Tl 0.0000 2.3973 7.2092
Tl 0.0000 2.3973 11.9663
Tl 2.3973 0.0000 2.4521
Tl 2.3973 0.0000 7.2092
Tl 2.3973 0.0000 11.9663
Tl 2.3973 2.3973 0.0000
Tl 2.3973 2.3973 4.8026
Tl 2.3973 2.3973 9.6157
```

Results
- Formation energy: -0.245 eV/atom
- Magnetic moment: 0.0 μB/f.u.

Record 4
## CaTb4Tl7 (PBE-GGA)

Data for an optimized crystal structure of CaTb4Tl7. Values from VASP.

Geometry as Quantum ESPRESSO input:
```
&SYSTEM
  ibrav = 0, nat = 12, ntyp = 3
/
ATOMIC_SPECIES
Ca 40.08 Ca.upf
Tb 158.93 Tb.upf
Tl 204.38 Tl.upf
CELL_PARAMETERS angstrom
6.8650 -2.8196 0.0000
6.8650 2.8196 0.0000
-6.4875 0.0000 9.4946
ATOMIC_POSITIONS angstrom
Ca 0.0000 0.0000 0.0000
Tb -0.4477 0.0000 6.3589
Tb 4.3012 0.0000 2.0279
Tb 2.9412 0.0000 7.4667
Tb 7.6901 0.0000 3.1357
Tl -1.0643 0.0000 3.1200
Tl -2.7822 0.0000 8.4588
Tl 2.0959 0.0000 4.2968
Tl 6.8650 0.0000 0.0000
Tl 5.1465 0.0000 5.1977
Tl 10.0246 0.0000 1.0357
Tl 8.3067 0.0000 6.3746
```

Results
- Formation energy: -0.149 eV/atom
- Magnetic moment: 0.0 μB/f.u.

Record 5
## CaTb3Tl2 (PBE-GGA)

Data for an optimized crystal structure of CaTb3Tl2. Values from VASP.

Geometry as Quantum ESPRESSO input:
```
&SYSTEM
  ibrav = 0, nat = 12, ntyp = 3
/
ATOMIC_SPECIES
Ca 40.08 Ca.upf
Tb 158.93 Tb.upf
Tl 204.38 Tl.upf
CELL_PARAMETERS angstrom
5.4113 0.0000 0.0000
0.0000 9.4437 0.0000
0.0000 0.0000 6.8422
ATOMIC_POSITIONS angstrom
Ca 0.0000 0.1118 0.0000
Ca 0.0000 9.3319 3.4211
Tb 0.0000 3.1570 4.9918
Tb 0.0000 6.2867 1.5707
Tb 2.7056 1.6013 1.7985
Tb 2.7056 4.6308 6.7875
Tb 2.7056 4.8129 3.3664
Tb 2.7056 7.8424 5.2196
Tl 0.0000 3.1665 1.6591
Tl 0.0000 6.2772 5.0802
Tl 2.7056 1.5654 5.1375
Tl 2.7056 7.8782 1.7164
```

Results
- Energy relative to the lowest polymorph listed for this composition: 0.00 eV per formula unit
- Formation energy: -0.298 eV/atom
- Magnetic moment: 0.3 μB/f.u.

Record 6
## Ca2TbTl (PBE-GGA)

Data for an optimized crystal structure of Ca2TbTl. Values from VASP.

Geometry as Quantum ESPRESSO input:
```
&SYSTEM
  ibrav = 0, nat = 16, ntyp = 3
/
ATOMIC_SPECIES
Ca 40.08 Ca.upf
Tb 158.93 Tb.upf
Tl 204.38 Tl.upf
CELL_PARAMETERS angstrom
8.0111 0.0000 0.0000
0.0000 8.0111 0.0000
0.0000 0.0000 8.0111
ATOMIC_POSITIONS angstrom
Ca 2.0028 2.0028 2.0028
Ca 2.0028 2.0028 6.0083
Ca 2.0028 6.0083 2.0028
Ca 2.0028 6.0083 6.0083
Ca 6.0083 2.0028 2.0028
Ca 6.0083 2.0028 6.0083
Ca 6.0083 6.0083 2.0028
Ca 6.0083 6.0083 6.0083
Tb 0.0000 0.0000 0.0000
Tb 0.0000 4.0055 4.0055
Tb 4.0055 0.0000 4.0055
Tb 4.0055 4.0055 0.0000
Tl 0.0000 0.0000 4.0055
Tl 0.0000 4.0055 0.0000
Tl 4.0055 0.0000 0.0000
Tl 4.0055 4.0055 4.0055
```

Results
- Energy relative to the lowest polymorph listed for this composition: 0.67 eV per formula unit
- Formation energy: -0.005 eV/atom
- Magnetic moment: 0.0 μB/f.u.

Record 7
## CaTbTl4 (PBE-GGA)

Data for an optimized crystal structure of CaTbTl4. Values from VASP.

Geometry as Quantum ESPRESSO input:
```
&SYSTEM
  ibrav = 0, nat = 6, ntyp = 3
/
ATOMIC_SPECIES
Ca 40.08 Ca.upf
Tb 158.93 Tb.upf
Tl 204.38 Tl.upf
CELL_PARAMETERS angstrom
0.0000 4.4479 4.4479
4.4479 0.0000 4.4479
4.4479 4.4479 0.0000
ATOMIC_POSITIONS angstrom
Ca 0.0000 0.0000 0.0000
Tb 6.6718 6.6718 6.6718
Tl 3.3388 3.3388 3.3388
Tl 5.5570 5.5570 3.3388
Tl 5.5570 3.3388 5.5570
Tl 3.3388 5.5570 5.5570
```

Results
- Energy relative to the lowest polymorph listed for this composition: 0.63 eV per formula unit
- Formation energy: -0.080 eV/atom
- Magnetic moment: 0.0 μB/f.u.

Record 8
## CaTb4Tl2 (PBE-GGA)

Data for an optimized crystal structure of CaTb4Tl2. Values from VASP.

Geometry as Quantum ESPRESSO input:
```
&SYSTEM
  ibrav = 0, nat = 7, ntyp = 3
/
ATOMIC_SPECIES
Ca 40.08 Ca.upf
Tb 158.93 Tb.upf
Tl 204.38 Tl.upf
CELL_PARAMETERS angstrom
2.5432 1.4683 10.9712
-2.5432 1.4683 10.9712
0.0000 -2.9366 10.9712
ATOMIC_POSITIONS angstrom
Ca 0.0000 0.0000 0.0000
Tb 0.0000 0.0000 6.5519
Tb 0.0000 0.0000 13.1508
Tb 0.0000 0.0000 19.7627
Tb 0.0000 0.0000 26.3616
Tl 0.0000 0.0000 3.2909
Tl 0.0000 0.0000 29.6225
```

Results
- Formation energy: 0.071 eV/atom
- Magnetic moment: 0.0 μB/f.u.

Record 9
## CaTb3Tl2 (PBE-GGA)

Data for an optimized crystal structure of CaTb3Tl2. Values from VASP.

Geometry as Quantum ESPRESSO input:
```
&SYSTEM
  ibrav = 0, nat = 12, ntyp = 3
/
ATOMIC_SPECIES
Ca 40.08 Ca.upf
Tb 158.93 Tb.upf
Tl 204.38 Tl.upf
CELL_PARAMETERS angstrom
8.2063 -2.7335 0.0000
8.2063 2.7335 0.0000
-4.1671 0.0000 8.2293
ATOMIC_POSITIONS angstrom
Ca 1.4299 0.0000 1.5529
Ca 10.8157 0.0000 6.6763
Tb -1.9917 0.0000 5.8674
Tb 5.0364 0.0000 0.0615
Tb 4.3775 0.0000 3.8262
Tb 7.8681 0.0000 4.4030
Tb 7.2092 0.0000 8.1678
Tb 14.2373 0.0000 2.3618
Tl 1.1657 0.0000 5.0086
Tl 4.4256 0.0000 6.8024
Tl 7.8200 0.0000 1.4269
Tl 11.0799 0.0000 3.2207
```

Results
- Energy relative to the lowest polymorph listed for this composition: 0.84 eV per formula unit
- Formation energy: -0.159 eV/atom
- Magnetic moment: 0.0 μB/f.u.

Record 10
## CaTb2Tl2 (PBE-GGA)

Data for an optimized crystal structure of CaTb2Tl2. Values from VASP.

Geometry as Quantum ESPRESSO input:
```
&SYSTEM
  ibrav = 0, nat = 5, ntyp = 3
/
ATOMIC_SPECIES
Ca 40.08 Ca.upf
Tb 158.93 Tb.upf
Tl 204.38 Tl.upf
CELL_PARAMETERS angstrom
5.3501 0.0000 0.0000
2.6688 4.6453 0.0000
2.6616 1.5251 5.8770
ATOMIC_POSITIONS angstrom
Ca 0.0000 0.0000 0.0000
Tb 2.6742 1.5462 2.0257
Tb 8.0063 4.6242 3.8513
Tl 5.3284 3.0681 4.4878
Tl 5.3521 3.1023 1.3892
```

Results
- Formation energy: -0.300 eV/atom
- Magnetic moment: 0.0 μB/f.u.

Record 11
## CaTb7Tl4 (PBE-GGA)

Data for an optimized crystal structure of CaTb7Tl4. Values from VASP.

Geometry as Quantum ESPRESSO input:
```
&SYSTEM
  ibrav = 0, nat = 12, ntyp = 3
/
ATOMIC_SPECIES
Ca 40.08 Ca.upf
Tb 158.93 Tb.upf
Tl 204.38 Tl.upf
CELL_PARAMETERS angstrom
7.3609 -2.8894 0.0000
7.3609 2.8894 0.0000
-5.6108 0.0000 8.6419
ATOMIC_POSITIONS angstrom
Ca 0.0000 0.0000 0.0000
Tb -1.3217 0.0000 3.4728
Tb -1.8302 0.0000 7.5894
Tb 2.1296 0.0000 2.8751
Tb 7.3609 0.0000 0.0000
Tb 6.9814 0.0000 5.7668
Tb 10.9412 0.0000 1.0525
Tb 10.4327 0.0000 5.1690
Tl 0.8981 0.0000 5.7634
Tl 5.0605 0.0000 2.2066
Tl 4.0505 0.0000 6.4353
Tl 8.2128 0.0000 2.8785
```

Results
- Formation energy: -0.007 eV/atom
- Magnetic moment: 0.0 μB/f.u.

Record 12
## Ca2TbTl (PBE-GGA)

Data for an optimized crystal structure of Ca2TbTl. Values from VASP.

Geometry as Quantum ESPRESSO input:
```
&SYSTEM
  ibrav = 0, nat = 12, ntyp = 3
/
ATOMIC_SPECIES
Ca 40.08 Ca.upf
Tb 158.93 Tb.upf
Tl 204.38 Tl.upf
CELL_PARAMETERS angstrom
3.7308 0.0000 0.0000
-1.8654 3.2310 0.0000
0.0000 0.0000 33.7518
ATOMIC_POSITIONS angstrom
Ca 0.0000 0.0000 0.0000
Ca 0.0000 0.0000 6.1656
Ca 0.0000 2.1540 22.5012
Ca 0.0000 2.1540 28.6669
Ca 1.8654 1.0770 11.2506
Ca 1.8654 1.0770 17.4162
Tb 0.0000 0.0000 25.5550
Tb 0.0000 2.1540 14.3044
Tb 1.8654 1.0770 3.0538
Tl 0.0000 0.0000 19.9604
Tl 0.0000 2.1540 8.7098
Tl 1.8654 1.0770 31.2110
```

Results
- Energy relative to the lowest polymorph listed for this composition: 0.41 eV per formula unit
- Formation energy: -0.073 eV/atom
- Magnetic moment: 0.7 μB/f.u.